Compound: CrWIO2
Source: the Alexandria database
Functional: PBE with a Hubbard U
Structure: optimized geometry

The structure belongs to space group P4/mmm (No. 123); the cell edges are 3.9609, 3.9609 and 6.3523 Å and the angles 90.00°, 90.00° and 90.00°. The asymmetric unit holds Cr at (0.0000, 0.0000, 0.0000), W at (0.5000, 0.5000, 0.5000), I at (0.0000, 0.0000, 0.5000) and O at (0.0000, 0.5000, 0.0000).

The value obtained for the calculated total energy is -5.194 eV/atom. The energy relative to the lowest polymorph listed for this composition comes out at 0.850 eV per atom. The total magnetization comes out at 6.96 Bohr magnetons per cell.